1.
A relaxed structure of BaLa2Tc. Source: Alexandria via LeMat-Bulk, functional GGA-PBE.

Summary:
energy of formation from the pure elements: 0.189 eV/atom

abc: 4.311 4.311 10.000
angles: 77.66 77.66 59.85
Atoms (fractional coordinates):
Ba1 0.250 0.250 0.250
La1 0.035 0.035 0.895
La2 0.465 0.465 0.605
Tc1 0.750 0.750 0.750

---

2.
A relaxed structure of BaLaTc2. Source: Alexandria via LeMat-Bulk, functional GGA-PBE.

Summary:
energy of formation from the pure elements: 0.997 eV/atom

abc: 5.749 5.749 5.749
angles: 145.06 121.92 69.60
Atoms (fractional coordinates):
Ba1 0.250 0.750 0.500
La1 0.750 0.250 0.500
Tc1 0.984 0.984 0.000
Tc2 0.516 0.516 0.000

---

3.
A relaxed structure of BaLa2Tc. Source: Alexandria via LeMat-Bulk, functional GGA-PBE.

Summary:
energy of formation from the pure elements: 0.277 eV/atom

abc: 4.110 4.109 9.303
angles: 90.00 90.00 90.00
Atoms (fractional coordinates):
Ba1 0.500 0.500 0.738
La1 0.000 0.000 0.081
La2 0.500 0.500 0.347
Tc1 0.000 0.000 0.334

---

4.
A relaxed structure of BaLaTc2. Source: Alexandria via LeMat-Bulk, functional GGA-PBE.

Summary:
energy of formation from the pure elements: 1.017 eV/atom

abc: 3.525 5.518 4.664
angles: 90.00 90.00 90.00
Atoms (fractional coordinates):
Ba1 0.500 0.000 0.500
La1 0.000 0.500 0.500
Tc1 0.000 0.000 0.000
Tc2 0.500 0.500 0.000

---

5.
A relaxed structure of BaLa2Tc. Source: Alexandria via LeMat-Bulk, functional GGA-PBE.

Summary:
energy of formation from the pure elements: 0.251 eV/atom

abc: 8.244 8.244 8.246
angles: 60.01 60.01 90.00
Atoms (fractional coordinates):
Tc1 0.500 0.500 0.000
Tc2 0.250 0.750 0.500
Ba1 0.000 0.000 0.000
Ba2 0.750 0.250 0.500
La1 0.375 0.125 0.250
La2 0.375 0.625 0.250
La3 0.375 0.625 0.750
La4 0.875 0.625 0.750

---

6.
A relaxed structure of BaLa2Tc. Source: Alexandria via LeMat-Bulk, functional GGA-PBE.

Summary:
energy of formation from the pure elements: 0.361 eV/atom

abc: 3.710 3.710 9.400
angles: 90.00 90.00 90.00
Atoms (fractional coordinates):
Ba1 0.500 0.500 0.684
La1 0.000 0.000 0.066
La2 0.500 0.500 0.302
Tc1 0.000 0.000 0.448

---

Computed polymorph energy (0 for the lowest one) (meV/atom) in order:
54; 808; 141; 828; 116; 225